The following is a GGA+U calculation of crystalline Y2HoMoO6 at its relaxed geometry, from the Alexandria database.

```
Y2HoMoO6
1.0
2.863 1.653 5.022
-2.863 1.653 5.022
0.000 -3.306 5.022
Y Ho Mo O
2 1 1 6
direct
0.000 0.000 0.000 Y
0.494 0.494 0.494 Y
0.280 0.280 0.280 Ho
0.789 0.789 0.789 Mo
0.078 0.405 0.674 O
0.167 0.896 0.588 O
0.405 0.674 0.078 O
0.588 0.167 0.896 O
0.674 0.078 0.405 O
0.896 0.588 0.167 O
```

Output
Calculated density: 6.22 g cm⁻³
N(E_F): 0.00 states/eV/atom
Total moment: 3.00 μB/cell
VASP energy: -8.4780 eV/atom